The following is a DFT calculation (PBE) of an optimized crystal structure of Cs6HAu2O.

Geometry as CIF:
```
data_Cs6HAu2O
_cell_length_a 8.3361
_cell_length_b 8.5789
_cell_length_c 14.5372
_cell_angle_alpha 90.00
_cell_angle_beta 124.78
_cell_angle_gamma 90.00
_symmetry_space_group_name_H-M 'P 1 21/c 1'
_symmetry_Int_Tables_number 14
_symmetry_space_group_name_Hall '-P 2ybc'
loop_
_atom_site_label
_atom_site_fract_x
_atom_site_fract_y
_atom_site_fract_z
Cs1 0.1666 0.0135 0.2382
Cs2 0.2321 0.7179 0.0377
Cs3 0.3179 0.1943 0.0376
H1 0.5000 0.0000 0.5000
Au1 0.2666 0.0543 0.7499
O1 0.0000 0.0000 0.0000
```

---

# NdSmTh2 PBE relaxed
# Energy relative to the elements ... 0.03 eV/atom
# Distance to the lowest polymorph of the same formula ... 0 meV/atom
data_NdSmTh2
_cell_length_a 5.0791
_cell_length_b 5.1086
_cell_length_c 10.2794
_cell_angle_alpha 90.00
_cell_angle_beta 90.14
_cell_angle_gamma 90.00
_symmetry_space_group_name_H-M 'P 1 21/m 1'
_symmetry_Int_Tables_number 11
_symmetry_space_group_name_Hall '-P 2yb'
loop_
_atom_site_label
_atom_site_fract_x
_atom_site_fract_y
_atom_site_fract_z
Nd1 0.0006 0.2500 0.3649
Sm1 0.4995 0.2500 0.6353
Th1 0.0000 0.2500 0.8812
Th2 0.4999 0.2500 0.1180

---

# Li3Pm2Ga2 PBE relaxed
# Energy relative to the elements ... -0.28 eV/atom
data_Li3Pm2Ga2
_cell_length_a 10.4690
_cell_length_b 4.6771
_cell_length_c 6.7797
_cell_angle_alpha 90.00
_cell_angle_beta 111.43
_cell_angle_gamma 90.00
_symmetry_space_group_name_H-M 'C 1 2/m 1'
_symmetry_Int_Tables_number 12
_symmetry_space_group_name_Hall '-C 2y'
loop_
_atom_site_label
_atom_site_fract_x
_atom_site_fract_y
_atom_site_fract_z
Li1 0.0000 0.0000 0.0000
Li2 0.2096 0.5000 0.8970
Pm1 0.1185 0.5000 0.3706
Ga1 0.1007 0.0000 0.6905

---

# Zr2CoI2 PBE relaxed
# Distance to the lowest polymorph of the same formula ... 0 meV/atom
# Energy relative to the elements, uncorrected ... 0.990 eV/f.u.
data_Zr2CoI2
_cell_length_a 7.0005
_cell_length_b 7.0005
_cell_length_c 5.0270
_cell_angle_alpha 90.00
_cell_angle_beta 90.00
_cell_angle_gamma 90.00
_symmetry_space_group_name_H-M 'P 4/m b m'
_symmetry_Int_Tables_number 127
_symmetry_space_group_name_Hall '-P 4 2ab'
loop_
_atom_site_label
_atom_site_fract_x
_atom_site_fract_y
_atom_site_fract_z
Zr1 0.1781 0.3219 0.0000
Co1 0.0000 0.0000 0.0000
I1 0.1718 0.6718 0.5000

---

# TiV5Si2 PBE relaxed
# Energy relative to the elements, uncorrected ... -2.516 eV/f.u.
data_TiV5Si2
_cell_length_a 3.1771
_cell_length_b 7.7261
_cell_length_c 9.2880
_cell_angle_alpha 90.00
_cell_angle_beta 90.00
_cell_angle_gamma 90.00
_symmetry_space_group_name_H-M 'I m m m'
_symmetry_Int_Tables_number 71
_symmetry_space_group_name_Hall '-I 2 2'
loop_
_atom_site_label
_atom_site_fract_x
_atom_site_fract_y
_atom_site_fract_z
Ti1 0.0000 0.0000 0.0000
V1 0.0000 0.1922 0.3522
V2 0.0000 0.5000 0.0000
Si1 0.0000 0.5000 0.2761

---

# CaBeBi PBE relaxed
# Energy relative to the elements ... -0.10 eV/atom
data_CaBeBi
_cell_length_a 4.3210
_cell_length_b 4.5555
_cell_length_c 8.1917
_cell_angle_alpha 90.00
_cell_angle_beta 105.20
_cell_angle_gamma 90.00
_symmetry_space_group_name_H-M 'P 1 21/m 1'
_symmetry_Int_Tables_number 11
_symmetry_space_group_name_Hall '-P 2yb'
loop_
_atom_site_label
_atom_site_fract_x
_atom_site_fract_y
_atom_site_fract_z
Ca1 0.1673 0.2500 0.3327
Be1 0.0319 0.7500 0.0599
Bi1 0.3788 0.2500 0.7601

---

# PuVFe4 PBE relaxed
# Energy relative to the elements ... 0.18 eV/atom
data_PuVFe4
_cell_length_a 6.8612
_cell_length_b 6.8612
_cell_length_c 6.8612
_cell_angle_alpha 90.00
_cell_angle_beta 90.00
_cell_angle_gamma 90.00
_symmetry_space_group_name_H-M 'F -4 3 m'
_symmetry_Int_Tables_number 216
_symmetry_space_group_name_Hall 'F -4 2 3'
loop_
_atom_site_label
_atom_site_fract_x
_atom_site_fract_y
_atom_site_fract_z
Pu1 0.0000 0.0000 0.0000
V1 0.2500 0.2500 0.7500
Fe1 0.1247 0.1247 0.3753

---

# MnGeSN PBE relaxed
# Distance to the lowest polymorph of the same formula ... 186 meV/atom
# Energy relative to the elements, uncorrected ... 0.246 eV/f.u.
data_MnGeSN
_cell_length_a 3.1120
_cell_length_b 3.1122
_cell_length_c 7.9743
_cell_angle_alpha 93.60
_cell_angle_beta 97.10
_cell_angle_gamma 120.00
_symmetry_space_group_name_H-M 'P 1'
_symmetry_Int_Tables_number 1
_symmetry_space_group_name_Hall 'P 1'
loop_
_atom_site_label
_atom_site_fract_x
_atom_site_fract_y
_atom_site_fract_z
Mn1 0.0000 0.0000 0.0000
Ge1 0.8024 0.4418 0.2566
S1 0.5682 0.8550 0.4438
N1 0.3001 0.6398 0.9371

---

# Tl2FeH PBE relaxed
# Distance to the lowest polymorph of the same formula ... 0 meV/atom
data_Tl2FeH
_cell_length_a 6.7063
_cell_length_b 6.7063
_cell_length_c 6.5418
_cell_angle_alpha 90.00
_cell_angle_beta 90.00
_cell_angle_gamma 90.00
_symmetry_space_group_name_H-M 'I -4 2 d'
_symmetry_Int_Tables_number 122
_symmetry_space_group_name_Hall 'I -4 2bw'
loop_
_atom_site_label
_atom_site_fract_x
_atom_site_fract_y
_atom_site_fract_z
Tl1 0.1935 0.2500 0.1250
Fe1 0.0000 0.0000 0.5000
H1 0.0000 0.0000 0.0000

---

# TlVZnCo2 PBE relaxed
# Energy relative to the elements ... 1.47 eV/atom
data_TlVZnCo2
_cell_length_a 4.3290
_cell_length_b 4.3290
_cell_length_c 4.7562
_cell_angle_alpha 90.00
_cell_angle_beta 90.00
_cell_angle_gamma 90.00
_symmetry_space_group_name_H-M 'P 4/m m m'
_symmetry_Int_Tables_number 123
_symmetry_space_group_name_Hall '-P 4 2'
loop_
_atom_site_label
_atom_site_fract_x
_atom_site_fract_y
_atom_site_fract_z
Tl1 0.0000 0.0000 0.0000
V1 0.5000 0.5000 0.0000
Zn1 0.0000 0.0000 0.5000
Co1 0.0000 0.5000 0.5000

---

# GaSb3F PBE relaxed
# Distance to the lowest polymorph of the same formula ... 385 meV/atom
# Energy relative to the elements, uncorrected ... 1.609 eV/f.u.
data_GaSb3F
_cell_length_a 5.2871
_cell_length_b 5.2871
_cell_length_c 5.2871
_cell_angle_alpha 90.00
_cell_angle_beta 90.00
_cell_angle_gamma 90.00
_symmetry_space_group_name_H-M 'P m -3 m'
_symmetry_Int_Tables_number 221
_symmetry_space_group_name_Hall '-P 4 2 3'
loop_
_atom_site_label
_atom_site_fract_x
_atom_site_fract_y
_atom_site_fract_z
Ga1 0.0000 0.0000 0.0000
Sb1 0.0000 0.0000 0.5000
F1 0.5000 0.5000 0.5000

---

# DyTm2BiC PBE relaxed
# Energy relative to the elements ... -0.53 eV/atom
data_DyTm2BiC
_cell_length_a 4.8405
_cell_length_b 4.8405
_cell_length_c 4.9469
_cell_angle_alpha 90.00
_cell_angle_beta 90.00
_cell_angle_gamma 90.00
_symmetry_space_group_name_H-M 'P 4/m m m'
_symmetry_Int_Tables_number 123
_symmetry_space_group_name_Hall '-P 4 2'
loop_
_atom_site_label
_atom_site_fract_x
_atom_site_fract_y
_atom_site_fract_z
Dy1 0.0000 0.0000 0.0000
Tm1 0.0000 0.5000 0.5000
Bi1 0.5000 0.5000 0.0000
C1 0.0000 0.0000 0.5000

---

# SiH2I PBE relaxed
# Distance to the lowest polymorph of the same formula ... 264 meV/atom
data_SiH2I
_cell_length_a 5.6045
_cell_length_b 5.6045
_cell_length_c 7.9519
_cell_angle_alpha 90.00
_cell_angle_beta 90.00
_cell_angle_gamma 90.00
_symmetry_space_group_name_H-M 'I 41/a m d'
_symmetry_Int_Tables_number 141
loop_
_symmetry_equiv_pos_as_xyz
'x,y,z'
'-x,-y,-z'
'-y+1/4,x+3/4,z+1/4'
'y+1/4,-x+3/4,-z+1/4'
'-x+1/2,-y,z+1/2'
'x+1/2,y,-z+1/2'
'y+1/4,-x+1/4,z+3/4'
'-y+1/4,x+1/4,-z+3/4'
'x,-y,-z'
'-x,y,z'
'-y+1/4,-x+1/4,-z+3/4'
'y+1/4,x+1/4,z+3/4'
'-x+1/2,y,-z+1/2'
'x+1/2,-y,z+1/2'
'y+1/4,x+3/4,-z+1/4'
'-y+1/4,-x+3/4,z+1/4'
'x+1/2,y+1/2,z+1/2'
'-x+1/2,-y+1/2,-z+1/2'
'-y+3/4,x+1/4,z+3/4'
'y+3/4,-x+1/4,-z+3/4'
'-x,-y+1/2,z'
'x,y+1/2,-z'
'y+3/4,-x+3/4,z+1/4'
'-y+3/4,x+3/4,-z+1/4'
'x+1/2,-y+1/2,-z+1/2'
'-x+1/2,y+1/2,z+1/2'
'-y+3/4,-x+3/4,-z+1/4'
'y+3/4,x+3/4,z+1/4'
'-x,y+1/2,-z'
'x,-y+1/2,z'
'y+3/4,x+1/4,-z+3/4'
'-y+3/4,-x+1/4,z+3/4'
loop_
_atom_site_label
_atom_site_fract_x
_atom_site_fract_y
_atom_site_fract_z
Si1 0.0000 0.2500 0.3750
H1 0.0000 0.0000 0.5000
I1 0.0000 0.2500 0.8750

---

# Li2TaFe PBE relaxed
# Energy relative to the elements ... 0.11 eV/atom
# Distance to the lowest polymorph of the same formula ... 47 meV/atom
data_Li2TaFe
_cell_length_a 3.0351
_cell_length_b 4.0713
_cell_length_c 9.7673
_cell_angle_alpha 89.88
_cell_angle_beta 81.23
_cell_angle_gamma 89.99
_symmetry_space_group_name_H-M 'P -1'
_symmetry_Int_Tables_number 2
_symmetry_space_group_name_Hall '-P 1'
loop_
_atom_site_label
_atom_site_fract_x
_atom_site_fract_y
_atom_site_fract_z
Li1 0.0635 0.2474 0.3757
Li2 0.4268 0.2525 0.6435
Ta1 0.2037 0.7496 0.0942
Fe1 0.3256 0.7506 0.8471

---

# LiLaMn PBE relaxed
# Energy relative to the elements ... 0.55 eV/atom
# Distance to the lowest polymorph of the same formula ... 252 meV/atom
data_LiLaMn
_cell_length_a 6.8158
_cell_length_b 6.8158
_cell_length_c 6.8158
_cell_angle_alpha 90.00
_cell_angle_beta 90.00
_cell_angle_gamma 90.00
_symmetry_space_group_name_H-M 'F -4 3 m'
_symmetry_Int_Tables_number 216
_symmetry_space_group_name_Hall 'F -4 2 3'
loop_
_atom_site_label
_atom_site_fract_x
_atom_site_fract_y
_atom_site_fract_z
Li1 0.0000 0.0000 0.0000
La1 0.0000 0.0000 0.5000
Mn1 0.2500 0.2500 0.2500

---

# LaNd4Au5 PBE relaxed
# Energy relative to the elements ... -0.77 eV/atom
data_LaNd4Au5
_cell_length_a 3.7080
_cell_length_b 3.7080
_cell_length_c 18.8842
_cell_angle_alpha 90.00
_cell_angle_beta 90.00
_cell_angle_gamma 90.00
_symmetry_space_group_name_H-M 'P 4/m m m'
_symmetry_Int_Tables_number 123
_symmetry_space_group_name_Hall '-P 4 2'
loop_
_atom_site_label
_atom_site_fract_x
_atom_site_fract_y
_atom_site_fract_z
La1 0.0000 0.0000 0.0000
Nd1 0.0000 0.0000 0.2021
Nd2 0.0000 0.0000 0.4007
Au1 0.5000 0.5000 0.1046
Au2 0.5000 0.5000 0.3014
Au3 0.5000 0.5000 0.5000

---

# FeSb3H PBE relaxed
# Distance to the lowest polymorph of the same formula ... 0 meV/atom
data_FeSb3H
_cell_length_a 4.8847
_cell_length_b 4.8847
_cell_length_c 4.8847
_cell_angle_alpha 90.00
_cell_angle_beta 90.00
_cell_angle_gamma 90.00
_symmetry_space_group_name_H-M 'P m -3 m'
_symmetry_Int_Tables_number 221
_symmetry_space_group_name_Hall '-P 4 2 3'
loop_
_atom_site_label
_atom_site_fract_x
_atom_site_fract_y
_atom_site_fract_z
Fe1 0.0000 0.0000 0.0000
Sb1 0.0000 0.0000 0.5000
H1 0.5000 0.5000 0.5000

---

# Mg7GaAu2 PBE relaxed
# Energy relative to the elements ... -0.31 eV/atom
data_Mg7GaAu2
_cell_length_a 4.6342
_cell_length_b 4.6342
_cell_length_c 11.4217
_cell_angle_alpha 90.00
_cell_angle_beta 90.00
_cell_angle_gamma 120.00
_symmetry_space_group_name_H-M 'P 3 m 1'
_symmetry_Int_Tables_number 156
_symmetry_space_group_name_Hall 'P 3 -2"'
loop_
_atom_site_label
_atom_site_fract_x
_atom_site_fract_y
_atom_site_fract_z
Mg1 0.0000 0.0000 0.0000
Mg2 0.0000 0.0000 0.2599
Mg3 0.0000 0.0000 0.5298
Mg4 0.3333 0.6667 0.1428
Mg5 0.3333 0.6667 0.6879
Mg6 0.6667 0.3333 0.3689
Mg7 0.6667 0.3333 0.8537
Ga1 0.3333 0.6667 0.4247
Au1 0.0000 0.0000 0.7654
Au2 0.6667 0.3333 0.1107

---

# TlNCl2 PBE relaxed
# Distance to the lowest polymorph of the same formula ... 300 meV/atom
# Energy relative to the elements, uncorrected ... 3.508 eV/f.u.
data_TlNCl2
_cell_length_a 7.1233
_cell_length_b 7.1233
_cell_length_c 7.1233
_cell_angle_alpha 90.00
_cell_angle_beta 90.00
_cell_angle_gamma 90.00
_symmetry_space_group_name_H-M 'F m -3 m'
_symmetry_Int_Tables_number 225
_symmetry_space_group_name_Hall '-F 4 2 3'
loop_
_atom_site_label
_atom_site_fract_x
_atom_site_fract_y
_atom_site_fract_z
Tl1 0.0000 0.0000 0.0000
N1 0.0000 0.0000 0.5000
Cl1 0.2500 0.2500 0.2500

---

# CoHgAu4 PBE relaxed
# Energy relative to the elements ... 0.40 eV/atom
data_CoHgAu4
_cell_length_a 7.7727
_cell_length_b 7.7727
_cell_length_c 7.7727
_cell_angle_alpha 90.00
_cell_angle_beta 90.00
_cell_angle_gamma 90.00
_symmetry_space_group_name_H-M 'F -4 3 m'
_symmetry_Int_Tables_number 216
_symmetry_space_group_name_Hall 'F -4 2 3'
loop_
_atom_site_label
_atom_site_fract_x
_atom_site_fract_y
_atom_site_fract_z
Co1 0.0000 0.0000 0.0000
Hg1 0.2500 0.2500 0.7500
Au1 0.1252 0.1252 0.3748

---

# BaAsO2F PBE relaxed
# Energy relative to the elements, uncorrected ... -10.044 eV/f.u.
data_BaAsO2F
_cell_length_a 4.1731
_cell_length_b 4.1731
_cell_length_c 4.4270
_cell_angle_alpha 90.00
_cell_angle_beta 90.00
_cell_angle_gamma 90.00
_symmetry_space_group_name_H-M 'P 4/m m m'
_symmetry_Int_Tables_number 123
_symmetry_space_group_name_Hall '-P 4 2'
loop_
_atom_site_label
_atom_site_fract_x
_atom_site_fract_y
_atom_site_fract_z
Ba1 0.0000 0.0000 0.0000
As1 0.5000 0.5000 0.5000
O1 0.0000 0.5000 0.5000
F1 0.5000 0.5000 0.0000

---

# Gd2SbPb PBE relaxed
# Distance to the lowest polymorph of the same formula ... 84 meV/atom
# Energy relative to the elements, uncorrected ... -2.749 eV/f.u.
data_Gd2SbPb
_cell_length_a 3.6560
_cell_length_b 3.6560
_cell_length_c 8.5243
_cell_angle_alpha 90.00
_cell_angle_beta 90.00
_cell_angle_gamma 90.00
_symmetry_space_group_name_H-M 'P 4/m m m'
_symmetry_Int_Tables_number 123
_symmetry_space_group_name_Hall '-P 4 2'
loop_
_atom_site_label
_atom_site_fract_x
_atom_site_fract_y
_atom_site_fract_z
Gd1 0.0000 0.0000 0.2342
Sb1 0.5000 0.5000 0.0000
Pb1 0.5000 0.5000 0.5000

---

# CeHo4Er6 PBE relaxed
# Energy relative to the elements ... 0.14 eV/atom
# Distance to the lowest polymorph of the same formula ... 0 meV/atom
data_CeHo4Er6
_cell_length_a 5.6221
_cell_length_b 9.5679
_cell_length_c 25.4725
_cell_angle_alpha 90.00
_cell_angle_beta 90.00
_cell_angle_gamma 90.00
_symmetry_space_group_name_H-M 'C m c m'
_symmetry_Int_Tables_number 63
_symmetry_space_group_name_Hall '-C 2c 2'
loop_
_atom_site_label
_atom_site_fract_x
_atom_site_fract_y
_atom_site_fract_z
Ce1 0.0000 0.1796 0.2500
Ho1 0.0000 0.1618 0.5412
Ho2 0.0000 0.4838 0.6218
Er1 0.0000 0.1523 0.6812
Er2 0.0000 0.1794 0.1021
Er3 0.0000 0.4866 0.7500
Er4 0.0000 0.5000 0.0000

---

# Pm6NdSm5 PBE relaxed
# Energy relative to the elements ... 0.01 eV/atom
data_Pm6NdSm5
_cell_length_a 6.3142
_cell_length_b 10.9334
_cell_length_c 12.0896
_cell_angle_alpha 90.00
_cell_angle_beta 100.05
_cell_angle_gamma 90.00
_symmetry_space_group_name_H-M 'C 1 2/m 1'
_symmetry_Int_Tables_number 12
_symmetry_space_group_name_Hall '-C 2y'
loop_
_atom_site_label
_atom_site_fract_x
_atom_site_fract_y
_atom_site_fract_z
Pm1 0.2496 0.0000 0.2504
Pm2 0.2500 0.1668 0.7494
Nd1 0.0000 0.5000 0.0000
Sm1 0.0000 0.0000 0.5000
Sm2 0.0000 0.1667 0.0000
Sm3 0.0000 0.3333 0.5000

---

# RbPdW3 PBE relaxed
# Energy relative to the elements ... 2.62 eV/atom
# Distance to the lowest polymorph of the same formula ... 0 meV/atom
data_RbPdW3
_cell_length_a 4.9647
_cell_length_b 4.9647
_cell_length_c 4.9647
_cell_angle_alpha 90.00
_cell_angle_beta 90.00
_cell_angle_gamma 90.00
_symmetry_space_group_name_H-M 'P m -3 m'
_symmetry_Int_Tables_number 221
_symmetry_space_group_name_Hall '-P 4 2 3'
loop_
_atom_site_label
_atom_site_fract_x
_atom_site_fract_y
_atom_site_fract_z
Rb1 0.0000 0.0000 0.0000
Pd1 0.5000 0.5000 0.5000
W1 0.0000 0.5000 0.5000

---

The electronic total energy results, record by record, are as follows: -49.23; -48.41; -46.46; -52.63; -133.70; -19.80; -225.00; -25.99; -54.56; -19.64; -15.66; -29.32; -49.60; -47.43; -57.45; -48.06; -20.43; -23.80; -43.51; -72.55; -28.40; -38.74; -200.15; -113.43; -31.93 eV/cell.